Density functional theory data (PBE) for BaCaCr2 after structural relaxation.

a = 5.646 Å, b = 5.646 Å, c = 5.646 Å
α = 60.00°, β = 60.00°, γ = 60.00°
Sites, in units of the cell vectors:
Ca 0.000 0.000 0.000
Cr 0.250 0.250 0.250
Cr 0.750 0.750 0.750
Ba 0.500 0.500 0.500

Calculated values
The value obtained for the uncorrected energy is -4.973 eV per atom. The formation energy comes out at 3.3 eV/f.u. The calculated volume is 31.82 A^3/atom. The space-group type is Fm-3m, No. 225. For the distance to the lowest polymorph of the same formula, the calculation gives 0.329 eV per atom.